DFT (PBE) results for an optimized crystal structure of SrSiMo2.

The total magnetic moment comes out at 0.00 Bohr magnetons per cell. The volume comes out at 91 Å³/f.u. The calculation puts the uncorrected formation energy at 49.05 kJ/mol of atoms.

a = 3.393 Å, b = 4.572 Å, c = 5.948 Å
α = 90.00°, β = 99.66°, γ = 90.00°
Space group P2/m (No. 10)
Asymmetric unit:
1 Sr 0.000 0.000 0.000 [1 per cell]
2 Si 0.500 0.000 0.500 [1 per cell]
3 Mo 0.308 0.500 0.647 [2 per cell]